Eu5V3S6O7 (GGA+U, relaxed); space group = Pmmn; energy = -8.312 eV/atom
1.0
3.7484 0.0000 0.0000
0.0000 17.9592 0.0000
0.0000 0.0000 10.1665
Eu V S O
10 6 12 14
direct
0.2500 0.0863 0.0900 Eu
0.2500 0.2500 0.7209 Eu
0.2500 0.4137 0.0900 Eu
0.2500 0.6373 0.5319 Eu
0.2500 0.8627 0.5319 Eu
0.7500 0.1373 0.4681 Eu
0.7500 0.3627 0.4681 Eu
0.7500 0.5863 0.9100 Eu
0.7500 0.7500 0.2791 Eu
0.7500 0.9137 0.9100 Eu
0.2500 0.0580 0.7476 V
0.2500 0.4420 0.7476 V
0.2500 0.7500 0.8146 V
0.7500 0.2500 0.1854 V
0.7500 0.5580 0.2524 V
0.7500 0.9420 0.2524 V
0.2500 0.0121 0.3531 S
0.2500 0.2500 0.0325 S
0.2500 0.2500 0.3549 S
0.2500 0.4879 0.3531 S
0.2500 0.6337 0.1461 S
0.2500 0.8663 0.1461 S
0.7500 0.1337 0.8539 S
0.7500 0.3663 0.8539 S
0.7500 0.5121 0.6469 S
0.7500 0.7500 0.6451 S
0.7500 0.7500 0.9675 S
0.7500 0.9879 0.6469 S
0.2500 0.0006 0.8941 O
0.2500 0.1270 0.6107 O
0.2500 0.3730 0.6107 O
0.2500 0.4994 0.8941 O
0.2500 0.6485 0.7934 O
0.2500 0.7500 0.4104 O
0.2500 0.8515 0.7934 O
0.7500 0.1485 0.2066 O
0.7500 0.2500 0.5896 O
0.7500 0.3515 0.2066 O
0.7500 0.5006 0.1059 O
0.7500 0.6270 0.3893 O
0.7500 0.8730 0.3893 O
0.7500 0.9994 0.1059 O